Here is a relaxed structure of Zn2CrAu from Alexandria via LeMat-Bulk. Energies are from PBE.

Properties
formation energy from the elements: 0.038 eV per atom
ρ: 10.16 g/cm3
E_tot: -3.824 eV per atom

Lattice parameters (Å, degrees): 3.277 3.277 5.782 90.00 90.00 90.00
Space group P4/mmm (No. 123)
One atom of each set of equivalent atoms:
Zn (0.000, 0.000, 0.243) x2
Cr (0.500, 0.500, 0.000) x1
Au (0.500, 0.500, 0.500) x1

=====

Here is a relaxed structure of ZnCrAu14 from Alexandria via LeMat-Bulk. Energies are from PBE.

Properties
formation energy from the elements: 0.000 eV per atom
ρ: 16.78 g/cm3
E_tot: -3.548 eV per atom

Lattice parameters (Å, degrees): 9.473 6.025 9.971 90.00 90.00 90.00
Space group Amm2 (No. 38)
One atom of each set of equivalent atoms:
Zn (0.000, 0.000, 0.000) x2
Cr (0.000, 0.000, 0.500) x2
Au (0.000, 0.249, 0.252) x4
Au (0.240, 0.248, 0.074) x8
Au (0.246, 0.000, 0.826) x4
Au (0.248, 0.000, 0.328) x4
Au (0.500, 0.000, 0.154) x2
Au (0.500, 0.000, 0.653) x2
Au (0.500, 0.249, 0.905) x4

=====

Here is a relaxed structure of ZnCrAu from Alexandria via LeMat-Bulk. Energies are from PBE.

Properties
formation energy from the elements: 0.113 eV per atom
ρ: 10.53 g/cm3
E_tot: -4.612 eV per atom

Lattice parameters (Å, degrees): 4.4295 4.4295 2.9175 90.00 90.00 120.00
Space group P3m1 (No. 156)
One atom of each set of equivalent atoms:
Zn (0.0000, 0.0000, 0.0000) x1
Cr (0.6667, 0.3333, 0.5028) x1
Au (0.3333, 0.6667, 0.0042) x1

=====

Here is a relaxed structure of Zn2CrAu2 from Alexandria via LeMat-Bulk. Energies are from PBE.

Properties
formation energy from the elements: 0.065 eV per atom
ρ: 10.82 g/cm3
E_tot: -3.680 eV per atom

Lattice parameters (Å, degrees): 3.652 3.652 13.274 90.00 90.00 90.00
Space group I4/mmm (No. 139)
One atom of each set of equivalent atoms:
Zn (0.000, 0.500, 0.250) x4
Cr (0.000, 0.000, 0.000) x2
Au (0.000, 0.000, 0.397) x4

=====

Here is a relaxed structure of Zn2CrAu8 from Alexandria via LeMat-Bulk. Energies are from PBE.

Properties
formation energy from the elements: -0.075 eV per atom
ρ: 15.44 g/cm3
E_tot: -3.565 eV per atom

Lattice parameters (Å, degrees): 14.503 4.157 6.638 90.00 109.04 90.00
Space group C2/m (No. 12)
One atom of each set of equivalent atoms:
Zn (0.222, 0.000, 0.151) x4
Cr (0.000, 0.500, 0.500) x2
Au (0.042, 0.000, 0.232) x4
Au (0.102, 0.500, 0.957) x4
Au (0.145, 0.000, 0.702) x4
Au (0.178, 0.500, 0.419) x4

=====

Here is a relaxed structure of Zn2CrAu from Alexandria via LeMat-Bulk. Energies are from PBE.

Properties
formation energy from the elements: 0.077 eV per atom
ρ: 9.99 g/cm3
E_tot: -3.785 eV per atom

Lattice parameters (Å, degrees): 3.298 3.298 5.805 90.00 90.00 90.00
Space group P4mm (No. 99)
One atom of each set of equivalent atoms:
Zn (0.000, 0.000, 0.000) x1
Zn (0.500, 0.500, 0.244) x1
Cr (0.500, 0.500, 0.763) x1
Au (0.000, 0.000, 0.496) x1

=====

Here is a relaxed structure of Zn2CrAu from Alexandria via LeMat-Bulk. Energies are from PBE.

Properties
formation energy from the elements: 0.028 eV per atom
ρ: 10.10 g/cm3
E_tot: -3.835 eV per atom

Lattice parameters (Å, degrees): 4.070 4.070 7.539 90.00 90.00 90.00
Space group I-4m2 (No. 119)
One atom of each set of equivalent atoms:
Zn (0.000, 0.000, 0.000) x2
Zn (0.000, 0.500, 0.250) x2
Cr (0.000, 0.500, 0.750) x2
Au (0.000, 0.000, 0.500) x2

=====

Here is a relaxed structure of Zn2CrAu from Alexandria via LeMat-Bulk. Energies are from PBE.

Properties
formation energy from the elements: 0.175 eV per atom
ρ: 10.61 g/cm3
E_tot: -3.687 eV per atom

Lattice parameters (Å, degrees): 2.7749 2.7749 26.7385 90.00 90.00 120.00
Space group R-3m (No. 166, hexagonal axes)
One atom of each set of equivalent atoms:
Zn (0.0000, 0.0000, 0.2450) x6
Cr (0.0000, 0.0000, 0.5000) x3
Au (0.0000, 0.0000, 0.0000) x3

=====

Q: Which formula does entry 2 have?
A: ZnCrAu14